--- 1 ---
Below is a relaxed structure of Tl2C, with properties calculated at the PBE level.

Calculated values
As for the volume: 23.8 A^3/atom.

a b c (Å): 12.299 3.621 8.234
angles (deg): 90.00 128.88 90.00
Space group C2/m (No. 12)
Unique sites:
Tl  0.075  0.000  0.324 (multiplicity 4)
Tl  0.244  0.000  0.818 (multiplicity 4)
C  0.097  0.500  0.818 (multiplicity 4)

=====

--- 2 ---
Below is a relaxed structure of Tl2C, with properties calculated at the PBE level.

Calculated values
As for the volume: 23.5 A^3/atom.

a b c (Å): 6.013 6.013 3.900
angles (deg): 90.00 90.00 90.00
Space group P4_2/mnm (No. 136)
Unique sites:
Tl  0.197  0.197  0.000 (multiplicity 4)
C  0.000  0.000  0.500 (multiplicity 2)

=====

--- 3 ---
Below is a relaxed structure of Tl2C, with properties calculated at the PBE level.

Calculated values
As for the volume: 21.7 A^3/atom.

a b c (Å): 6.385 6.385 6.385
angles (deg): 90.00 90.00 90.00
Space group Pa-3 (No. 205)
Unique sites:
Tl  0.146  0.146  0.146 (multiplicity 8)
C  0.000  0.000  0.500 (multiplicity 4)

=====

Short version: 2 is the most stable of them.

=====

--- 1 ---
Below is a relaxed structure of Tl2C, with properties calculated at the PBE level.

Calculated values
As for the volume: 29.6 A^3/atom.

a b c (Å): 8.921 8.921 8.921
angles (deg): 90.00 90.00 90.00
Space group Fd-3m (No. 227, origin choice 2)
Unique sites:
Tl  0.000  0.000  0.000 (multiplicity 16)
C  0.125  0.125  0.625 (multiplicity 8)

=====

--- 2 ---
Below is a relaxed structure of Tl2C, with properties calculated at the PBE level.

Calculated values
As for the volume: 24.4 A^3/atom.

a b c (Å): 3.8783 3.8783 11.2435
angles (deg): 90.00 90.00 120.00
Space group P6_3/mmc (No. 194)
Unique sites:
Tl  0.0000  0.0000  0.0000 (multiplicity 2)
Tl  0.3333  0.6667  0.2500 (multiplicity 2)
C  0.3333  0.6667  0.7500 (multiplicity 2)

=====

Short version: 2 is the most stable of them.

=====

--- 1 ---
Below is a relaxed structure of Tl2C, with properties calculated at the PBE level.

Calculated values
As for the volume: 24.5 A^3/atom.

a b c (Å): 5.2144 5.2144 3.1165
angles (deg): 90.00 90.00 120.00
Space group P6/mmm (No. 191)
Unique sites:
Tl  0.3333  0.6667  0.0000 (multiplicity 2)
C  0.0000  0.0000  0.5000 (multiplicity 1)

=====

--- 2 ---
Below is a relaxed structure of Tl2C, with properties calculated at the PBE level.

Calculated values
As for the volume: 25.4 A^3/atom.

a b c (Å): 3.8403 3.8403 17.9225
angles (deg): 90.00 90.00 120.00
Space group R3m (No. 160, hexagonal axes)
Unique sites:
Tl  0.0000  0.0000  0.0000 (multiplicity 3)
Tl  0.0000  0.0000  0.1909 (multiplicity 3)
C  0.0000  0.0000  0.6260 (multiplicity 3)

=====

--- 3 ---
Below is a relaxed structure of Tl2C, with properties calculated at the PBE level.

Calculated values
As for the volume: 22.4 A^3/atom.

a b c (Å): 3.280 3.280 12.496
angles (deg): 90.00 90.00 90.00
Space group I4/mmm (No. 139)
Unique sites:
Tl  0.000  0.000  0.129 (multiplicity 4)
C  0.000  0.000  0.500 (multiplicity 2)

=====

--- 4 ---
Below is a relaxed structure of Tl2C, with properties calculated at the PBE level.

Calculated values
As for the volume: 22.3 A^3/atom.

a b c (Å): 6.4756 6.4756 5.5307
angles (deg): 90.00 90.00 120.00
Space group P-31m (No. 162)
Unique sites:
Tl  0.0000  0.3443  0.2450 (multiplicity 6)
C  0.0000  0.0000  0.0000 (multiplicity 1)
C  0.3333  0.6667  0.5000 (multiplicity 2)

=====

Short version: 2 is the most stable of them.

=====

--- 1 ---
Below is a relaxed structure of Tl2C, with properties calculated at the PBE level.

Calculated values
As for the volume: 26.4 A^3/atom.

a b c (Å): 12.821 3.720 6.756
angles (deg): 90.00 100.38 90.00
Space group C2/m (No. 12)
Unique sites:
Tl  0.087  0.000  0.214 (multiplicity 4)
Tl  0.178  0.000  0.728 (multiplicity 4)
C  0.005  0.500  0.407 (multiplicity 4)

=====

--- 2 ---
Below is a relaxed structure of Tl2C, with properties calculated at the PBE level.

Calculated values
As for the volume: 21.4 A^3/atom.

a b c (Å): 6.520 6.520 6.029
angles (deg): 90.00 90.00 90.00
Space group I4/mcm (No. 140)
Unique sites:
Tl  0.173  0.327  0.000 (multiplicity 8)
C  0.000  0.000  0.250 (multiplicity 4)

=====

--- 3 ---
Below is a relaxed structure of Tl2C, with properties calculated at the PBE level.

Calculated values
As for the volume: 47.0 A^3/atom.

a b c (Å): 8.8156 8.8156 8.3812
angles (deg): 90.00 90.00 120.00
Space group P6_3/mmc (No. 194)
Unique sites:
Tl  0.0000  0.0000  0.0000 (multiplicity 2)
Tl  0.1644  0.3288  0.2500 (multiplicity 6)
C  0.3333  0.6667  0.1732 (multiplicity 4)

=====

--- 4 ---
Below is a relaxed structure of Tl2C, with properties calculated at the PBE level.

Calculated values
As for the volume: 22.8 A^3/atom.

a b c (Å): 6.5707 6.5707 5.4880
angles (deg): 90.00 90.00 120.00
Space group P-62m (No. 189)
Unique sites:
Tl  0.0000  0.2954  0.0000 (multiplicity 3)
Tl  0.0000  0.6315  0.5000 (multiplicity 3)
C  0.0000  0.0000  0.5000 (multiplicity 1)
C  0.3333  0.6667  0.0000 (multiplicity 2)

=====

Short version: 1 is the most stable of them.

=====

--- 1 ---
Below is a relaxed structure of Tl2C, with properties calculated at the PBE level.

Calculated values
As for the volume: 24.4 A^3/atom.

a b c (Å): 6.532 12.607 3.552
angles (deg): 90.00 90.00 90.00
Space group Cmmm (No. 65)
Unique sites:
Tl  0.000  0.000  0.000 (multiplicity 2)
Tl  0.000  0.237  0.500 (multiplicity 4)
Tl  0.000  0.500  0.500 (multiplicity 2)
C  0.000  0.377  0.000 (multiplicity 4)

=====

--- 2 ---
Below is a relaxed structure of Tl2C, with properties calculated at the PBE level.

Calculated values
As for the volume: 22.8 A^3/atom.

a b c (Å): 3.6231 3.6231 12.0302
angles (deg): 90.00 90.00 120.00
Space group P6_3/mmc (No. 194)
Unique sites:
Tl  0.0000  0.0000  0.1266 (multiplicity 4)
C  0.3333  0.6667  0.2500 (multiplicity 2)

=====

--- 3 ---
Below is a relaxed structure of Tl2C, with properties calculated at the PBE level.

Calculated values
As for the volume: 22.5 A^3/atom.

a b c (Å): 3.290 3.290 24.990
angles (deg): 90.00 90.00 90.00
Space group I4_1/amd (No. 141, origin choice 2)
Unique sites:
Tl  0.000  0.250  0.312 (multiplicity 8)
C  0.000  0.250  0.875 (multiplicity 4)

=====

--- 4 ---
Below is a relaxed structure of Tl2C, with properties calculated at the PBE level.

Calculated values
As for the volume: 22.7 A^3/atom.

a b c (Å): 6.484 6.484 6.484
angles (deg): 90.00 90.00 90.00
Space group Fm-3m (No. 225)
Unique sites:
Tl  0.250  0.250  0.250 (multiplicity 8)
C  0.000  0.000  0.000 (multiplicity 4)

=====

Short version: 2 is the most stable of them.

=====

--- 1 ---
Below is a relaxed structure of Tl2C, with properties calculated at the PBE level.

Calculated values
As for the volume: 23.0 A^3/atom.

a b c (Å): 3.788 14.622 4.973
angles (deg): 90.00 90.00 90.00
Space group Cmcm (No. 63)
Unique sites:
Tl  0.000  0.067  0.250 (multiplicity 4)
Tl  0.000  0.300  0.250 (multiplicity 4)
C  0.000  0.325  0.750 (multiplicity 4)

=====

--- 2 ---
Below is a relaxed structure of Tl2C, with properties calculated at the PBE level.

Calculated values
As for the volume: 22.7 A^3/atom.

a b c (Å): 3.822 5.846 12.178
angles (deg): 90.00 90.00 90.00
Space group Fmmm (No. 69)
Unique sites:
Tl  0.000  0.000  0.132 (multiplicity 8)
C  0.000  0.000  0.500 (multiplicity 4)

=====

Short version: 1 is the most stable of them.

=====

--- 1 ---
Below is a relaxed structure of Tl4C, with properties calculated at the PBE level.

Calculated values
As for the volume: 27.8 A^3/atom.

a b c (Å): 6.529 6.529 6.529
angles (deg): 90.00 90.00 90.00
Space group Im-3m (No. 229)
Unique sites:
Tl  0.250  0.250  0.250 (multiplicity 8)
C  0.000  0.000  0.000 (multiplicity 2)

=====

--- 2 ---
Below is a relaxed structure of Tl4C, with properties calculated at the PBE level.

Calculated values
As for the volume: 27.6 A^3/atom.

a b c (Å): 3.6857 3.6857 11.7117
angles (deg): 90.00 90.00 120.00
Space group P-3m1 (No. 164)
Unique sites:
Tl  0.3333  0.6667  0.1138 (multiplicity 2)
Tl  0.3333  0.6667  0.3858 (multiplicity 2)
C  0.0000  0.0000  0.0000 (multiplicity 1)

=====

Short version: 2 is the most stable of them.

=====

--- 1 ---
Below is a relaxed structure of TlVC3, with properties calculated at the PBE level.

Calculated values
As for the volume: 16.1 A^3/atom.

a b c (Å): 4.319 4.319 4.319
angles (deg): 90.00 90.00 90.00
Space group Pm-3m (No. 221)
Unique sites:
Tl  0.000  0.000  0.000 (multiplicity 1)
V  0.500  0.500  0.500 (multiplicity 1)
C  0.000  0.000  0.500 (multiplicity 3)

=====

--- 2 ---
Below is a relaxed structure of TlVC3, with properties calculated at the PBE level.

Calculated values
As for the volume: 13.4 A^3/atom.

a b c (Å): 4.057 4.057 4.057
angles (deg): 90.00 90.00 90.00
Space group Pm-3m (No. 221)
Unique sites:
Tl  0.000  0.000  0.000 (multiplicity 1)
V  0.500  0.500  0.500 (multiplicity 1)
C  0.000  0.500  0.500 (multiplicity 3)

=====

Short version: 2 is the most stable of them.